(1)
A plane-wave DFT calculation with PBE was carried out for TaCr2Se after structural relaxation. Values from VASP.

Geometry as Quantum ESPRESSO input:
```
&SYSTEM
  ibrav = 0, nat = 4, ntyp = 3
/
ATOMIC_SPECIES
Cr 52.00 Cr.upf
Se 78.96 Se.upf
Ta 180.95 Ta.upf
CELL_PARAMETERS angstrom
5.0469 0.0100 0.0002
-2.3362 4.4736 0.0002
0.7441 1.2309 2.6346
ATOMIC_POSITIONS crystal
Cr 0.0000 0.0000 0.0000
Cr 0.5000 0.5000 0.0000
Se 0.5000 0.0000 0.5000
Ta 0.0000 0.5000 0.5000
```

Results
The calculation puts the uncorrected formation energy at 0.40 eV per atom.



(2)
A plane-wave DFT calculation with PBE was carried out for La6MgSi2S14 after structural relaxation. Values from VASP.

Geometry as Quantum ESPRESSO input:
```
&SYSTEM
  ibrav = 0, nat = 23, ntyp = 4
/
ATOMIC_SPECIES
La 138.91 La.upf
Mg 24.30 Mg.upf
Si 28.09 Si.upf
S 32.06 S.upf
CELL_PARAMETERS angstrom
10.4121 0.0000 0.0000
-5.2061 9.0172 0.0000
0.0000 0.0000 5.7667
ATOMIC_POSITIONS crystal
La 0.6430 0.7641 0.7549
La 0.1211 0.3570 0.7549
La 0.2359 0.8789 0.7549
La 0.3568 0.2348 0.2485
La 0.8780 0.6432 0.2485
La 0.7652 0.1220 0.2485
Mg 0.0000 0.0000 0.5132
Si 0.3333 0.6667 0.1692
Si 0.6667 0.3333 0.6607
S 0.3333 0.6667 0.5342
S 0.6667 0.3333 0.0265
S 0.7563 0.8392 0.2743
S 0.0830 0.2437 0.2743
S 0.1608 0.9170 0.2743
S 0.2432 0.1629 0.7530
S 0.9197 0.7568 0.7530
S 0.8371 0.0803 0.7530
S 0.4765 0.8832 0.0270
S 0.4067 0.5235 0.0270
S 0.1168 0.5933 0.0270
S 0.5241 0.1163 0.5207
S 0.5921 0.4759 0.5207
S 0.8837 0.4079 0.5207
```

Results
The calculation puts the uncorrected formation energy at -1.79 eV per atom.



(3)
A plane-wave DFT calculation with PBE was carried out for LuMg4Pb after structural relaxation. Values from VASP.

Geometry as Quantum ESPRESSO input:
```
&SYSTEM
  ibrav = 0, nat = 6, ntyp = 3
/
ATOMIC_SPECIES
Pb 207.20 Pb.upf
Mg 24.30 Mg.upf
Lu 174.97 Lu.upf
CELL_PARAMETERS angstrom
-0.8204 0.6219 5.8927
-4.4672 -2.9026 2.7206
1.1999 -4.5573 3.6843
ATOMIC_POSITIONS crystal
Pb 0.0000 0.0000 0.0000
Mg 0.6245 0.6245 0.1264
Mg 0.6245 0.1264 0.6245
Mg 0.6245 0.6245 0.6245
Mg 0.1264 0.6245 0.6245
Lu 0.2500 0.2500 0.2500
```

Results
The formation energy is 0.000 eV per atom.



| no. | V (Å³/atom) | total magnetic moment (μB per atom) |
| --- | --- | --- |
| 1 | 14.9 | 0.4674 |
| 2 | 23.5 | 0.0000 |
| 3 | 25.2 | 0.0000 |